Entry 1:
Cu3PO6 after structural relaxation. Source: Alexandria, functional GGA-PBE.

The structure in POSCAR format:
```
Cu3PO6
1.0
-1.125 0.578 -5.016
3.719 -5.926 -1.517
-6.870 -1.473 1.371
Cu P O
6 2 12
Direct
0.424 0.941 0.678
0.924 0.678 0.941
0.549 0.490 0.510
0.049 0.510 0.490
0.924 0.059 0.322
0.424 0.322 0.059
0.983 0.199 0.801
0.483 0.801 0.199
0.302 0.679 0.641
0.802 0.641 0.679
0.071 0.421 0.897
0.571 0.897 0.421
0.169 0.091 0.909
0.689 0.171 0.829
0.189 0.829 0.171
0.669 0.909 0.091
0.071 0.103 0.579
0.571 0.579 0.103
0.302 0.359 0.321
0.802 0.321 0.359
```

Properties
As for the uncorrected energy: -5.801 eV per atom. The space group is No. 36. The crystal system is orthorhombic. Its total magnetic moment is 1.99 μB per formula unit. The energy relative to the lowest polymorph listed for this composition comes out at 0 meV/atom. The value obtained for the density is 4.28 g cm⁻³.

***

Entry 2:
CuPO3 after structural relaxation. Source: Alexandria, functional GGA-PBE.

The structure in POSCAR format:
```
CuPO3
1.0
4.580 0.000 0.000
0.000 5.387 0.000
0.000 -2.693 4.665
Cu P O
2 2 6
Direct
0.000 0.000 0.000
0.500 0.000 0.000
0.500 0.667 0.333
0.000 0.667 0.333
0.750 0.417 0.321
0.750 0.904 0.583
0.750 0.679 0.096
0.250 0.679 0.583
0.250 0.417 0.096
0.250 0.904 0.321
```

Properties
As for the uncorrected energy: -5.912 eV per atom. The space group is No. 188. The crystal system is hexagonal. Its total magnetic moment is 0.09 μB per formula unit. The value obtained for the density is 4.11 g cm⁻³.

***

Entry 3:
Cu3PO after structural relaxation. Source: Alexandria, functional GGA-PBE.

The structure in POSCAR format:
```
Cu3PO
1.0
3.980 0.000 0.000
0.000 3.980 0.000
0.000 0.000 3.980
P O Cu
1 1 3
Direct
0.500 0.500 0.500
0.000 0.000 0.000
0.000 0.500 0.000
0.000 0.000 0.500
0.500 0.000 0.000
```

Properties
As for the uncorrected energy: -4.415 eV per atom. The space group is No. 221. The crystal system is cubic. Its total magnetic moment is 0.00 μB per formula unit. The energy relative to the lowest polymorph listed for this composition comes out at 0 meV/atom. The value obtained for the density is 6.26 g cm⁻³.

***

Entry 4:
Cu4P2O9 after structural relaxation. Source: Alexandria, functional GGA-PBE.

The structure in POSCAR format:
```
Cu4P2O9
1.0
-4.964 3.722 1.047
-3.143 -6.576 2.678
5.821 1.230 5.558
Cu P O
8 4 18
Direct
0.855 0.095 0.741
0.383 0.151 0.765
0.145 0.905 0.259
0.644 0.379 0.590
0.356 0.621 0.410
0.617 0.849 0.235
0.163 0.681 0.937
0.837 0.319 0.063
0.008 0.788 0.580
0.358 0.263 0.151
0.642 0.737 0.849
0.992 0.212 0.420
0.520 0.589 0.667
0.331 0.075 0.184
0.126 0.307 0.030
0.480 0.411 0.333
0.669 0.925 0.816
0.156 0.781 0.461
0.311 0.725 0.200
0.689 0.275 0.800
0.026 0.635 0.677
0.753 0.787 0.466
0.874 0.693 0.970
0.844 0.219 0.539
0.108 0.973 0.730
0.974 0.365 0.323
0.488 0.733 0.965
0.892 0.027 0.270
0.247 0.213 0.534
0.512 0.267 0.035
```

Properties
As for the uncorrected energy: -6.098 eV per atom. The space group is No. 2. The crystal system is triclinic. Its total magnetic moment is 2.00 μB per formula unit. The energy relative to the lowest polymorph listed for this composition comes out at 6 meV/atom. The value obtained for the density is 4.28 g cm⁻³.

***

Entry 5:
PaCuP2O8 after structural relaxation. Source: Alexandria, functional GGA-PBE.

The structure in POSCAR format:
```
PaCuP2O8
1.0
-2.549 1.089 4.383
-1.914 -3.502 -3.311
3.367 -4.824 3.157
Pa Cu P O
1 1 2 8
Direct
0.000 0.000 0.500
0.000 0.000 0.000
0.333 0.667 0.693
0.667 0.333 0.307
0.169 0.338 0.764
0.169 0.831 0.764
0.662 0.831 0.764
0.338 0.169 0.236
0.667 0.333 0.537
0.333 0.667 0.463
0.831 0.662 0.236
0.831 0.169 0.236
```

Properties
As for the uncorrected energy: -7.575 eV per atom. The space group is No. 164. The crystal system is trigonal. Its total magnetic moment is 0.39 μB per formula unit. The value obtained for the density is 5.17 g cm⁻³.

***

Entry 6:
CuPPbO5 after structural relaxation. Source: Alexandria, functional GGA-PBE.

The structure in POSCAR format:
```
CuPPbO5
1.0
5.864 0.811 -0.153
-0.936 5.846 -0.153
-2.223 -3.003 7.236
Cu P Pb O
2 2 2 10
Direct
0.324 0.676 0.250
0.676 0.324 0.750
0.636 0.364 0.250
0.364 0.636 0.750
0.000 0.000 0.500
0.000 0.000 0.000
0.110 0.890 0.250
0.890 0.110 0.750
0.743 0.277 0.097
0.257 0.723 0.903
0.723 0.257 0.403
0.277 0.743 0.597
0.671 0.655 0.339
0.329 0.345 0.661
0.345 0.329 0.161
0.655 0.671 0.839
```

Properties
As for the uncorrected energy: -6.125 eV per atom. The space group is No. 15. The crystal system is monoclinic. Its total magnetic moment is 0.79 μB per formula unit. The value obtained for the density is 5.10 g cm⁻³.

***

Entry 7:
CuP2PbO7 after structural relaxation. Source: Alexandria, functional GGA-PBE.

The structure in POSCAR format:
```
CuP2PbO7
1.0
8.281 0.000 0.000
0.000 5.553 -0.004
0.000 5.348 12.707
Cu P Pb O
4 8 4 28
Direct
0.643 0.671 0.112
0.143 0.329 0.388
0.357 0.329 0.888
0.857 0.671 0.612
0.965 0.408 0.838
0.465 0.592 0.662
0.035 0.592 0.162
0.535 0.408 0.338
0.696 0.332 0.987
0.196 0.668 0.513
0.304 0.668 0.013
0.804 0.332 0.487
0.826 0.014 0.275
0.326 0.986 0.225
0.174 0.986 0.725
0.674 0.014 0.775
0.946 0.178 0.804
0.446 0.822 0.696
0.054 0.822 0.196
0.554 0.178 0.304
0.879 0.659 0.762
0.379 0.341 0.738
0.121 0.341 0.238
0.621 0.659 0.262
0.141 0.481 0.848
0.641 0.519 0.652
0.859 0.519 0.152
0.359 0.481 0.348
0.884 0.328 0.952
0.384 0.672 0.548
0.116 0.672 0.048
0.616 0.328 0.452
0.835 0.613 0.480
0.335 0.387 0.020
0.165 0.387 0.520
0.665 0.613 0.980
0.814 0.117 0.597
0.314 0.883 0.903
0.186 0.883 0.403
0.686 0.117 0.097
0.905 0.277 0.404
0.405 0.723 0.096
0.095 0.723 0.596
0.595 0.277 0.904
```

Properties
As for the uncorrected energy: -6.643 eV per atom. The space group is No. 14. The crystal system is monoclinic. Its total magnetic moment is 0.96 μB per formula unit. The value obtained for the density is 5.05 g cm⁻³.

***

Entry 8:
Cu3P4Pb3O16 after structural relaxation. Source: Alexandria, functional GGA-PBE.

The structure in POSCAR format:
```
Cu3P4Pb3O16
1.0
-5.558 -7.397 0.599
-0.989 -9.041 1.803
-5.813 -3.825 16.826
Cu P Pb O
6 8 6 32
Direct
0.500 0.000 0.500
0.000 0.500 0.000
0.992 0.560 0.353
0.440 0.008 0.147
0.008 0.440 0.647
0.560 0.992 0.853
0.111 0.619 0.471
0.381 0.889 0.029
0.889 0.381 0.529
0.619 0.111 0.971
0.878 0.422 0.264
0.578 0.122 0.236
0.122 0.578 0.736
0.422 0.878 0.764
0.212 0.788 0.250
0.788 0.212 0.750
0.297 0.916 0.405
0.084 0.703 0.095
0.703 0.084 0.595
0.916 0.297 0.905
0.861 0.724 0.536
0.276 0.139 0.964
0.139 0.276 0.464
0.724 0.861 0.036
0.053 0.684 0.385
0.316 0.947 0.115
0.947 0.316 0.615
0.684 0.053 0.885
0.391 0.299 0.495
0.701 0.609 0.005
0.609 0.701 0.505
0.299 0.391 0.995
0.116 0.777 0.475
0.223 0.884 0.025
0.884 0.223 0.525
0.777 0.116 0.975
0.560 0.717 0.259
0.283 0.440 0.241
0.440 0.283 0.741
0.717 0.560 0.759
0.962 0.395 0.334
0.605 0.038 0.166
0.038 0.605 0.666
0.395 0.962 0.834
0.045 0.386 0.180
0.614 0.955 0.320
0.955 0.614 0.820
0.386 0.045 0.680
0.940 0.190 0.295
0.810 0.060 0.205
0.060 0.810 0.705
0.190 0.940 0.795
```

Properties
As for the uncorrected energy: -6.463 eV per atom. The space group is No. 15. The crystal system is monoclinic. Its total magnetic moment is 3.05 μB per formula unit. The value obtained for the density is 5.41 g cm⁻³.

***

Looking at formation energy from raw total energies for the records above, in order, we have -10.559, -5.180, 0.580, -19.644, -26.820, -10.998, -19.738, -43.645 eV per formula unit.